Computed, not measured: PrGaPd at its PBEsol-relaxed geometry at the SCAN level of DFT.

## Properties
Formation enthalpy at 0 K ... -0.936 eV/atom
E ... -31.751 eV per atom

Lattice parameters (Å, degrees): 7.125 4.525 7.611 90.00 90.00 90.00
Space group Pnma (No. 62)
Unique sites:
Pr  0.022  0.250  0.195
Ga  0.173  0.250  0.579
Pd  0.207  0.750  0.406